Entry 1:
Here is a geometry-optimized Sm4Dy3Co4 structure from the Alexandria database. Energies are from PBE-GGA.

Lattice parameters (Å, degrees): 3.6371 8.8634 9.2136 118.75 101.38 90.00
Last column: nearest neighbours and their distance in Å.
Sites, in units of the cell vectors:
1 Co 0.7458 0.2458 0.4917  6 Sm 2.83-3.07, 2 Dy 2.90
2 Co 0.5000 0.7873 0.0000  2 Sm 2.74
3 Co 0.5000 0.2127 0.0000  2 Sm 2.74
4 Co 0.2542 0.7542 0.5083  6 Sm 2.83-3.07, 2 Dy 2.90
5 Sm 0.3359 0.5215 0.6717  3 Co 2.74-2.83
6 Sm 0.6641 0.8498 0.3283  3 Co 2.74-2.83
7 Sm 0.3359 0.1502 0.6717  3 Co 2.74-2.83
8 Sm 0.6641 0.4785 0.3283  3 Co 2.74-2.83
9 Dy 0.0000 0.5000 0.0000  4 Co 3.13
10 Dy 0.8980 0.8980 0.7960  6 Co 2.90-3.07, 1 Dy 3.21
11 Dy 0.1020 0.1020 0.2040  6 Co 2.90-3.07, 1 Dy 3.21

Output
Calculated total energy   -5.5709 eV/atom

=====

Entry 2:
Here is a geometry-optimized CuReSi2 structure from the Alexandria database. Energies are from PBE-GGA.

Lattice parameters (Å, degrees): 4.3314 4.3314 4.6195 80.90 80.90 39.81
Last column: nearest neighbours and their distance in Å.
Sites, in units of the cell vectors:
1 Si 0.5110 0.5110 0.4750  3 Cu 2.50-2.72, 3 Re 2.52, 2 Si 2.58
2 Si 0.9890 0.9890 0.0250  3 Cu 2.50-2.72, 3 Re 2.52, 2 Si 2.58
3 Re 0.2500 0.2500 0.2500  6 Si 2.52, 4 Cu 2.74
4 Cu 0.7500 0.7500 0.7500  6 Si 2.50-2.72, 4 Re 2.74

Output
Energy relative to the elements, uncorrected   0.07 eV/atom
E above lowest polymorph   0.844 eV per formula unit

=====

Entry 3:
Here is a geometry-optimized Ag3ClF5 structure from the Alexandria database. Energies are from PBE-GGA.

Lattice parameters (Å, degrees): 5.2386 5.2386 10.9408 90.00 90.00 86.83
Last column: nearest neighbours and their distance in Å.
Sites, in units of the cell vectors:
1 Ag 0.9770 0.9770 0.5000  4 F 2.14-2.28
2 Ag 0.9937 0.9937 0.1548  3 F 2.12-2.27
3 Ag 0.5150 0.5150 0.3300  1 F 2.11
4 Ag 0.5150 0.5150 0.6700  1 F 2.11
5 Ag 0.9937 0.9937 0.8452  3 F 2.12-2.27
6 Ag 0.5033 0.5033 0.0000  6 F 2.13-2.25
7 F 0.7952 0.7952 0.0000  3 Ag 2.22-2.27
8 F 0.7925 0.7925 0.3364  2 Ag 2.11-2.28
9 F 0.7071 0.2966 0.1552  2 Ag 2.12-2.25
10 F 0.6958 0.2900 0.5000  3 Ag 2.14-2.37
11 F 0.7071 0.2966 0.8448  2 Ag 2.12-2.25
12 F 0.2900 0.6958 0.5000  3 Ag 2.14-2.37
13 F 0.2966 0.7071 0.8448  2 Ag 2.12-2.25
14 F 0.2966 0.7071 0.1552  2 Ag 2.12-2.25
15 F 0.7925 0.7925 0.6636  2 Ag 2.11-2.28
16 F 0.2235 0.2235 0.0000  1 Ag 2.13
17 Cl 0.2026 0.2026 0.3271  3 Ag 2.38-2.55
18 Cl 0.2026 0.2026 0.6729  3 Ag 2.38-2.55

Output
Energy relative to the elements, uncorrected   -0.99 eV/atom
E above lowest polymorph   0.042 eV per formula unit